# 1
GGA-PBE Na3Dy2SnSe6, optimized geometry; space group = C2/m (12); magnetic moment = 0.00 μB/cell; uncorrected formation energy = -130.3 kJ per mole of atoms; calculated volume = 314 Å³ per cell; energy = -54.3 eV per formula unit
1.0
7.1941 -0.0009 -0.0009
-3.5961 6.2308 -0.0009
-1.2011 -2.0798 6.9963
Na Dy Sn Se
3 2 1 6
Cartesian
-2.4330 4.1723 3.4973 Na
4.8299 -0.0223 3.4973 Na
1.1984 2.0750 3.4973 Na
-0.0027 4.1555 -0.0009 Dy
3.6007 2.0744 -0.0009 Dy
0.0000 0.0000 0.0000 Sn
3.5958 2.0692 5.3892 Se
2.3957 4.1480 1.5968 Se
-1.1989 2.0809 1.6053 Se
-0.0048 4.1486 5.3892 Se
0.0012 0.0020 5.3977 Se
2.4016 0.0015 1.6053 Se

# 2
GGA-PBE Dy6GeTe3As2, optimized geometry; space group = C2/m (12); magnetic moment = 0.00 μB/cell; uncorrected formation energy = -135.3 kJ per mole of atoms; calculated volume = 326 Å³ per cell; energy = -67.8 eV per formula unit
1.0
4.2135 0.0000 0.0000
0.0000 8.5779 0.1957
-2.1067 -2.5857 8.9631
Dy Ge Te As
6 1 3 2
Cartesian
0.0000 5.9647 6.3026 Dy
2.1067 3.9610 3.2186 Dy
2.1067 0.0275 2.8562 Dy
0.0000 1.9507 0.1472 Dy
2.1067 4.0414 9.0116 Dy
0.0000 2.0312 5.9402 Dy
2.1067 0.0000 0.0000 Ge
2.1067 4.2889 0.0978 Te
2.1067 -0.2848 5.9855 Te
0.0000 6.2769 3.1733 Te
2.1067 3.9889 6.1000 As
0.0000 2.0033 3.0588 As

# 3
GGA-PBE Pr2SmAgS5, optimized geometry; space group = Cmc2_1 (36); magnetic moment = 0.00 μB/cell; uncorrected formation energy = -161.8 kJ per mole of atoms; calculated volume = 416 Å³ per cell; energy = -52.9 eV per formula unit
1.0
-0.2164 1.7535 -3.6299
6.5426 -5.5681 -0.8349
-7.8475 -8.6636 -3.7174
Pr Sm Ag S
4 2 2 10
Cartesian
-1.5687 -9.6069 -6.7923 Pr
-3.9098 -6.9933 -3.1453 Pr
-0.7814 -3.7862 -1.7824 Pr
3.4193 -4.3466 -4.5485 Pr
-0.0799 -6.3650 -5.3150 Sm
2.4513 -1.8157 -1.0233 Sm
-7.4081 -7.7904 -5.5667 Ag
2.3947 -8.5429 -4.2697 Ag
-3.2406 -12.0140 -5.6106 S
-4.1941 -8.2291 -5.9702 S
-6.1855 -5.8589 -4.7065 S
-1.4516 -8.4656 -4.0030 S
1.1773 -8.4693 -6.4064 S
-2.1954 -4.7857 -4.4259 S
1.2587 -5.8101 -2.8818 S
4.2520 -7.0743 -3.6709 S
1.3104 -2.4888 -3.5254 S
-0.1018 -1.1419 -0.5456 S

# 4
GGA-PBE Al2TcN, optimized geometry; space group = I-42d (122); magnetic moment = 0.00 μB/cell; uncorrected formation energy = -5.3 kJ per mole of atoms; calculated volume = 99 Å³ per cell; energy = -26.4 eV per formula unit
1.0
-0.0071 6.2635 -0.6028
-2.7759 -0.5441 -5.6208
-3.6428 2.9632 -2.0100
N Tc Al
2 2 4
Cartesian
-1.3915 2.8597 -3.1118 N
-3.9051 2.6394 -5.3713 N
0.0000 0.0000 0.0000 Tc
-2.5207 6.0432 -2.8623 Tc
-1.2615 4.0344 -1.5286 Al
-2.6472 1.7367 -4.1441 Al
-4.0208 4.3191 -4.3376 Al
-4.9221 7.2749 -6.4568 Al

# 5
GGA-PBE FeAs2Os, optimized geometry; space group = Imm2 (44); magnetic moment = 1.98 μB/cell; calculated formation energy = 1.5 eV per formula unit; calculated volume = 59 Å³ per cell; energy = -27.5 eV per formula unit
1.0
5.3572 0.0049 -0.0052
2.8616 4.5289 0.0052
-3.7146 -2.9824 2.4507
As Fe Os
2 1 1
Cartesian
0.1075 0.0593 0.0000 As
2.7170 -0.4430 1.2227 As
4.1994 2.3166 0.0000 Fe
1.5895 1.8853 1.2280 Os

# 6
GGA-PBE ZrRuPt4, optimized geometry; space group = F-43m (216); magnetic moment = 1.40 μB/cell; calculated formation energy = -1.8 eV per formula unit; calculated volume = 102 Å³ per cell; energy = -43.8 eV per formula unit
1.0
0.0000 3.7083 3.7083
3.7083 0.0000 3.7083
3.7083 3.7083 0.0000
Zr Ru Pt
1 1 4
Cartesian
0.0000 0.0000 0.0000 Zr
1.8542 1.8542 1.8542 Ru
2.7854 2.7854 4.6313 Pt
2.7854 4.6313 2.7854 Pt
4.6313 4.6313 4.6313 Pt
4.6313 2.7854 2.7854 Pt

# 7
GGA-PBE Mg2AgOs, optimized geometry; space group = Cmm2 (35); magnetic moment = 0.26 μB/cell; calculated formation energy = 1.3 eV per formula unit; calculated volume = 69 Å³ per cell; energy = -15.9 eV per formula unit
1.0
2.8150 -0.0332 0.0000
-1.1052 2.5891 0.0000
0.0000 0.0000 9.5491
Ag Mg Os
1 2 1
Cartesian
0.8549 1.2780 7.1300 Ag
0.0000 0.0000 9.4622 Mg
0.8549 1.2780 2.5559 Mg
0.0000 0.0000 4.7246 Os

# 8
GGA-PBE SrBe2Zn, optimized geometry; space group = P4/mmm (123); magnetic moment = 0.00 μB/cell; calculated formation energy = 2.9 eV per formula unit; calculated volume = 81 Å³ per cell; energy = -7.5 eV per formula unit
1.0
-1.6398 3.6398 1.7688
0.4394 -1.7377 3.9830
3.9328 1.6358 0.2798
Sr Zn Be
1 1 2
Cartesian
1.1465 2.6378 1.0243 Sr
2.1861 -0.0509 2.1314 Zn
0.0000 0.0000 0.0000 Be
-0.6002 0.9511 2.8759 Be

- Look up the energy of the second one.
  -67.8 eV per formula unit

- Among the records above, which one has the highest magnetic moment?
  FeAs2Os

- What is the calculated volume in the first record?
  314 Å³ per cell